# KIn2TeS | Alexandria | PBE-GGA | optimized geometry
data_KIn2TeS
_chemical_formula_sum 'K1 In2 Te1 S1'
_symmetry_space_group_name_H-M 'P 1'
_symmetry_Int_Tables_number 1
_cell_length_a 5.415
_cell_length_b 5.415
_cell_length_c 5.791
_cell_angle_alpha 90.00
_cell_angle_beta 90.00
_cell_angle_gamma 90.00
loop_
_symmetry_equiv_pos_as_xyz
'x,y,z'
loop_
_atom_site_label
_atom_site_type_symbol
_atom_site_fract_x
_atom_site_fract_y
_atom_site_fract_z
K1 K 0.000 0.000 0.000
In1 In 0.000 0.500 0.500
In2 In 0.500 0.000 0.500
Te1 Te 0.500 0.500 0.000
S1 S 0.000 0.000 0.500
# **Magnetization**: 0.0 μB/f.u.
# **E_form (uncorrected)**: -0.318 eV per atom


# KIn2TeS6 | Alexandria | PBE-GGA | optimized geometry
data_KIn2TeS6
_chemical_formula_sum 'K2 In4 Te2 S12'
_symmetry_space_group_name_H-M 'P 1'
_symmetry_Int_Tables_number 1
_cell_length_a 8.480
_cell_length_b 8.480
_cell_length_c 8.296
_cell_angle_alpha 103.34
_cell_angle_beta 103.34
_cell_angle_gamma 94.29
loop_
_symmetry_equiv_pos_as_xyz
'x,y,z'
loop_
_atom_site_label
_atom_site_type_symbol
_atom_site_fract_x
_atom_site_fract_y
_atom_site_fract_z
K1 K 0.109 0.891 0.750
K2 K 0.891 0.109 0.250
In1 In 0.287 0.453 0.848
In2 In 0.453 0.287 0.348
In3 In 0.547 0.713 0.652
In4 In 0.713 0.547 0.152
Te1 Te 0.216 0.784 0.250
Te2 Te 0.784 0.216 0.750
S1 S 0.031 0.222 0.657
S2 S 0.064 0.614 0.932
S3 S 0.222 0.031 0.157
S4 S 0.304 0.465 0.540
S5 S 0.386 0.936 0.568
S6 S 0.465 0.304 0.040
S7 S 0.535 0.696 0.960
S8 S 0.614 0.064 0.432
S9 S 0.696 0.535 0.460
S10 S 0.778 0.969 0.843
S11 S 0.936 0.386 0.068
S12 S 0.969 0.778 0.343
# **Magnetization**: 1.0 μB/f.u.
# **E_form (uncorrected)**: -0.348 eV per atom


# K2TiInS4 | Alexandria | PBE-GGA | optimized geometry
data_K2TiInS4
_chemical_formula_sum 'K2 Ti1 In1 S4'
_symmetry_space_group_name_H-M 'P 1'
_symmetry_Int_Tables_number 1
_cell_length_a 6.900
_cell_length_b 6.900
_cell_length_c 6.900
_cell_angle_alpha 117.77
_cell_angle_beta 117.77
_cell_angle_gamma 93.91
loop_
_symmetry_equiv_pos_as_xyz
'x,y,z'
loop_
_atom_site_label
_atom_site_type_symbol
_atom_site_fract_x
_atom_site_fract_y
_atom_site_fract_z
K1 K 0.000 0.000 0.000
K2 K 0.750 0.250 0.500
Ti1 Ti 0.250 0.750 0.500
In1 In 0.500 0.500 0.000
S1 S 0.207 0.098 0.562
S2 S 0.355 0.793 0.892
S3 S 0.536 0.645 0.438
S4 S 0.902 0.464 0.108
# **Magnetization**: 0.0 μB/f.u.
# **E_form (uncorrected)**: -1.075 eV per atom


# K4Tm3InS8 | Alexandria | PBE-GGA | optimized geometry
data_K4Tm3InS8
_chemical_formula_sum 'K4 Tm3 In1 S8'
_symmetry_space_group_name_H-M 'P 1'
_symmetry_Int_Tables_number 1
_cell_length_a 8.686
_cell_length_b 8.686
_cell_length_c 8.686
_cell_angle_alpha 54.60
_cell_angle_beta 54.60
_cell_angle_gamma 54.60
loop_
_symmetry_equiv_pos_as_xyz
'x,y,z'
loop_
_atom_site_label
_atom_site_type_symbol
_atom_site_fract_x
_atom_site_fract_y
_atom_site_fract_z
K1 K 0.000 0.000 0.000
K2 K 0.000 0.500 0.500
K3 K 0.500 0.000 0.500
K4 K 0.500 0.500 0.000
Tm1 Tm 0.000 0.000 0.500
Tm2 Tm 0.000 0.500 0.000
Tm3 Tm 0.500 0.000 0.000
In1 In 0.500 0.500 0.500
S1 S 0.233 0.233 0.233
S2 S 0.235 0.732 0.732
S3 S 0.268 0.268 0.765
S4 S 0.268 0.765 0.268
S5 S 0.732 0.235 0.732
S6 S 0.732 0.732 0.235
S7 S 0.765 0.268 0.268
S8 S 0.767 0.767 0.767
# **Magnetization**: 0.0 μB/f.u.
# **E_form (uncorrected)**: -1.624 eV per atom


# K3Tm3InS8 | Alexandria | PBE-GGA | optimized geometry
data_K3Tm3InS8
_chemical_formula_sum 'K3 Tm3 In1 S8'
_symmetry_space_group_name_H-M 'P 1'
_symmetry_Int_Tables_number 1
_cell_length_a 7.852
_cell_length_b 7.852
_cell_length_c 8.804
_cell_angle_alpha 116.54
_cell_angle_beta 116.54
_cell_angle_gamma 59.94
loop_
_symmetry_equiv_pos_as_xyz
'x,y,z'
loop_
_atom_site_label
_atom_site_type_symbol
_atom_site_fract_x
_atom_site_fract_y
_atom_site_fract_z
K1 K 0.000 0.000 0.000
K2 K 0.000 0.500 0.000
K3 K 0.500 0.000 0.000
Tm1 Tm 0.000 0.500 0.500
Tm2 Tm 0.500 0.000 0.500
Tm3 Tm 0.500 0.500 0.500
In1 In 0.000 0.000 0.500
S1 S 0.231 0.231 0.696
S2 S 0.231 0.735 0.696
S3 S 0.265 0.769 0.304
S4 S 0.267 0.267 0.301
S5 S 0.733 0.733 0.699
S6 S 0.735 0.231 0.696
S7 S 0.769 0.265 0.304
S8 S 0.769 0.769 0.304
# **Magnetization**: 0.0 μB/f.u.
# **E_form (uncorrected)**: -1.525 eV per atom


# K2U3InS8 | Alexandria | PBE-GGA | optimized geometry
data_K2U3InS8
_chemical_formula_sum 'K2 U3 In1 S8'
_symmetry_space_group_name_H-M 'P 1'
_symmetry_Int_Tables_number 1
_cell_length_a 9.035
_cell_length_b 9.035
_cell_length_c 9.035
_cell_angle_alpha 53.39
_cell_angle_beta 53.39
_cell_angle_gamma 53.39
loop_
_symmetry_equiv_pos_as_xyz
'x,y,z'
loop_
_atom_site_label
_atom_site_type_symbol
_atom_site_fract_x
_atom_site_fract_y
_atom_site_fract_z
K1 K 0.000 0.000 0.000
K2 K 0.366 0.366 0.366
U1 U 0.366 0.366 0.867
U2 U 0.366 0.867 0.366
U3 U 0.867 0.366 0.366
In1 In 0.748 0.748 0.748
S1 S 0.110 0.110 0.561
S2 S 0.110 0.561 0.110
S3 S 0.138 0.138 0.138
S4 S 0.164 0.625 0.625
S5 S 0.561 0.110 0.110
S6 S 0.593 0.593 0.593
S7 S 0.625 0.164 0.625
S8 S 0.625 0.625 0.164
# **Magnetization**: 5.0 μB/f.u.
# **E_form (uncorrected)**: -1.250 eV per atom


# K2UInS5 | Alexandria | PBE-GGA | optimized geometry
data_K2UInS5
_chemical_formula_sum 'K4 U2 In2 S10'
_symmetry_space_group_name_H-M 'P 1'
_symmetry_Int_Tables_number 1
_cell_length_a 9.405
_cell_length_b 9.405
_cell_length_c 14.131
_cell_angle_alpha 90.00
_cell_angle_beta 90.00
_cell_angle_gamma 154.91
loop_
_symmetry_equiv_pos_as_xyz
'x,y,z'
loop_
_atom_site_label
_atom_site_type_symbol
_atom_site_fract_x
_atom_site_fract_y
_atom_site_fract_z
K1 K 0.097 0.903 0.500
K2 K 0.127 0.873 0.152
K3 K 0.873 0.127 0.652
K4 K 0.903 0.097 0.000
U1 U 0.217 0.783 0.861
U2 U 0.783 0.217 0.361
In1 In 0.437 0.563 0.262
In2 In 0.563 0.437 0.762
S1 S 0.066 0.934 0.873
S2 S 0.282 0.718 0.480
S3 S 0.297 0.703 0.236
S4 S 0.349 0.651 0.837
S5 S 0.499 0.501 0.117
S6 S 0.501 0.499 0.617
S7 S 0.651 0.349 0.337
S8 S 0.703 0.297 0.736
S9 S 0.718 0.282 0.980
S10 S 0.934 0.066 0.373
# **Magnetization**: 1.0 μB/f.u.
# **E_form (uncorrected)**: -1.116 eV per atom


# K3U3InS8 | Alexandria | PBE-GGA | optimized geometry
data_K3U3InS8
_chemical_formula_sum 'K3 U3 In1 S8'
_symmetry_space_group_name_H-M 'P 1'
_symmetry_Int_Tables_number 1
_cell_length_a 8.759
_cell_length_b 8.759
_cell_length_c 8.759
_cell_angle_alpha 55.30
_cell_angle_beta 55.30
_cell_angle_gamma 55.30
loop_
_symmetry_equiv_pos_as_xyz
'x,y,z'
loop_
_atom_site_label
_atom_site_type_symbol
_atom_site_fract_x
_atom_site_fract_y
_atom_site_fract_z
K1 K 0.000 0.500 0.500
K2 K 0.500 0.000 0.500
K3 K 0.500 0.500 0.000
U1 U 0.000 0.000 0.500
U2 U 0.000 0.500 0.000
U3 U 0.500 0.000 0.000
In1 In 0.500 0.500 0.500
S1 S 0.224 0.735 0.735
S2 S 0.234 0.234 0.234
S3 S 0.265 0.265 0.776
S4 S 0.265 0.776 0.265
S5 S 0.735 0.224 0.735
S6 S 0.735 0.735 0.224
S7 S 0.766 0.766 0.766
S8 S 0.776 0.265 0.265
# **Magnetization**: 7.3 μB/f.u.
# **E_form (uncorrected)**: -1.263 eV per atom


# K2VInS4 | Alexandria | PBE-GGA | optimized geometry
data_K2VInS4
_chemical_formula_sum 'K2 V1 In1 S4'
_symmetry_space_group_name_H-M 'P 1'
_symmetry_Int_Tables_number 1
_cell_length_a 6.772
_cell_length_b 6.772
_cell_length_c 6.772
_cell_angle_alpha 111.07
_cell_angle_beta 111.07
_cell_angle_gamma 106.32
loop_
_symmetry_equiv_pos_as_xyz
'x,y,z'
loop_
_atom_site_label
_atom_site_type_symbol
_atom_site_fract_x
_atom_site_fract_y
_atom_site_fract_z
K1 K 0.000 0.000 0.000
K2 K 0.750 0.250 0.500
V1 V 0.500 0.500 0.000
In1 In 0.250 0.750 0.500
S1 S 0.199 0.533 0.030
S2 S 0.467 0.496 0.666
S3 S 0.504 0.170 0.970
S4 S 0.830 0.801 0.334
# **Magnetization**: 0.0 μB/f.u.
# **E_form (uncorrected)**: -0.907 eV per atom


# KInSb | Alexandria | PBE-GGA | optimized geometry
data_KInSb
_chemical_formula_sum 'K1 In1 Sb1'
_symmetry_space_group_name_H-M 'P 1'
_symmetry_Int_Tables_number 1
_cell_length_a 4.017
_cell_length_b 4.017
_cell_length_c 7.604
_cell_angle_alpha 90.00
_cell_angle_beta 90.00
_cell_angle_gamma 120.00
loop_
_symmetry_equiv_pos_as_xyz
'x,y,z'
loop_
_atom_site_label
_atom_site_type_symbol
_atom_site_fract_x
_atom_site_fract_y
_atom_site_fract_z
K1 K 0.000 0.000 0.000
In1 In 0.333 0.667 0.619
Sb1 Sb 0.667 0.333 0.360
# **Magnetization**: 0.0 μB/f.u.
# **E_form (uncorrected)**: -0.108 eV per atom


# KInSb2 | Alexandria | PBE-GGA | optimized geometry
data_KInSb2
_chemical_formula_sum 'K1 In1 Sb2'
_symmetry_space_group_name_H-M 'P 1'
_symmetry_Int_Tables_number 1
_cell_length_a 4.188
_cell_length_b 4.188
_cell_length_c 7.354
_cell_angle_alpha 90.00
_cell_angle_beta 90.00
_cell_angle_gamma 90.00
loop_
_symmetry_equiv_pos_as_xyz
'x,y,z'
loop_
_atom_site_label
_atom_site_type_symbol
_atom_site_fract_x
_atom_site_fract_y
_atom_site_fract_z
K1 K 0.000 0.000 0.000
In1 In 0.000 0.000 0.500
Sb1 Sb 0.500 0.500 0.307
Sb2 Sb 0.500 0.500 0.693
# **Magnetization**: 0.0 μB/f.u.
# **E_form (uncorrected)**: -0.131 eV per atom


# KIn2Sb | Alexandria | PBE-GGA | optimized geometry
data_KIn2Sb
_chemical_formula_sum 'K1 In2 Sb1'
_symmetry_space_group_name_H-M 'P 1'
_symmetry_Int_Tables_number 1
_cell_length_a 6.456
_cell_length_b 6.456
_cell_length_c 3.343
_cell_angle_alpha 90.00
_cell_angle_beta 90.00
_cell_angle_gamma 118.68
loop_
_symmetry_equiv_pos_as_xyz
'x,y,z'
loop_
_atom_site_label
_atom_site_type_symbol
_atom_site_fract_x
_atom_site_fract_y
_atom_site_fract_z
K1 K 0.000 0.000 0.000
In1 In 0.000 0.500 0.500
In2 In 0.500 0.000 0.500
Sb1 Sb 0.500 0.500 0.000
# **Magnetization**: 0.0 μB/f.u.
# **E_form (uncorrected)**: -0.002 eV per atom